Pm2NdThSe4 | Alexandria via LeMat-Bulk | PBE-GGA | relaxed; density = 7.75 g cm⁻³; calculated total energy = -49.67 eV per cell; uncorrected formation energy = -1.755 eV/atom
1.0
7.293 0.000 0.000
0.000 4.184 0.000
-2.411 0.000 6.893
Pm Nd Th Se
2 1 1 4
direct
0.000 0.000 0.000
0.500 0.500 0.000
0.000 0.500 0.500
0.500 0.000 0.500
0.249 0.500 0.247
0.251 0.000 0.752
0.749 0.000 0.248
0.751 0.500 0.753